The following is a PBE-GGA calculation of a relaxed structure of LiCaBiSe3, from Alexandria via LeMat-Bulk.

ΔE_f (raw): -1.083 eV/atom
density: 5.22 g/cm³

Structure (CIF):
```
data_LiCaBiSe3
_chemical_formula_sum 'Li2 Ca2 Bi2 Se6'
_cell_length_a 8.750
_cell_length_b 4.128
_cell_length_c 8.873
_cell_angle_alpha 90.00
_cell_angle_beta 101.96
_cell_angle_gamma 90.00
_symmetry_space_group_name_H-M 'P 1 21/m 1'
_symmetry_Int_Tables_number 11
_symmetry_space_group_name_Hall '-P 2yb'
loop_
_atom_site_label
_atom_site_fract_x
_atom_site_fract_y
_atom_site_fract_z
Li1 0.086 0.250 0.088
Ca1 0.188 0.250 0.738
Bi1 0.330 0.750 0.336
Se1 0.102 0.250 0.381
Se2 0.209 0.750 0.993
Se3 0.424 0.750 0.672
```